a | SCAN AgAu4, PBEsol geometry; space-group type = I4/mmm (139)
1.0
-1.430 1.430 10.273
1.430 -1.430 10.273
1.430 1.430 -10.273
Ag Au
1 4
direct
0.000 0.000 0.000
0.200 0.200 0.000
0.401 0.401 0.000
0.599 0.599 0.000
0.800 0.800 0.000

b | SCAN AgAu4, PBEsol geometry; space-group type = I4/m (87)
1.0
-3.215 3.215 2.032
3.215 -3.215 2.032
3.215 3.215 -2.032
Ag Au
1 4
direct
0.000 0.000 0.000
0.200 0.400 0.600
0.400 0.800 0.200
0.600 0.200 0.800
0.800 0.600 0.400

c | SCAN AgAu4, PBEsol geometry; space-group type = Immm (71)
1.0
-1.427 2.049 7.188
1.427 -2.049 7.188
1.427 2.049 -7.188
Ag Au
1 4
direct
0.000 0.000 0.000
0.200 0.200 0.000
0.401 0.401 0.000
0.599 0.599 0.000
0.800 0.800 0.000

Relative calculated energies, zero for the most stable structure, unit eV/atom: a 0.012; b 0.000; c 0.005.

a | SCAN AgAu4, PBEsol geometry; space-group type = C2/m (12)
1.0
4.767 -1.430 0.000
4.767 1.430 0.000
-3.457 0.000 6.168
Ag Au
1 4
direct
0.000 0.000 0.000
0.200 0.200 0.802
0.399 0.399 0.600
0.601 0.601 0.400
0.800 0.800 0.198

b | SCAN AgAu4, PBEsol geometry; space-group type = R-3m (166)
1.0
1.439 0.831 11.728
-1.439 0.831 11.728
0.000 -1.661 11.728
Ag Au
1 4
direct
0.000 0.000 0.000
0.200 0.200 0.200
0.399 0.399 0.399
0.601 0.601 0.601
0.800 0.800 0.800

Relative calculated energies, zero for the most stable structure, unit eV/atom: a 0.000; b 0.013.

a | SCAN BaAgAu, PBEsol geometry; space-group type = P-6m2 (187)
1.0
4.777 0.000 0.000
-2.388 4.137 0.000
0.000 0.000 4.206
Ba Ag Au
1 1 1
direct
0.000 0.000 0.000
0.333 0.667 0.500
0.667 0.333 0.500

b | SCAN BaAgAu, PBEsol geometry; space-group type = F-43m (216)
1.0
0.000 3.551 3.551
3.551 0.000 3.551
3.551 3.551 0.000
Ba Ag Au
1 1 1
direct
0.000 0.000 0.000
0.750 0.750 0.750
0.500 0.500 0.500

Relative calculated energies, zero for the most stable structure, unit eV/atom: a 0.000; b 0.261.

a | SCAN BaAg2Au, PBEsol geometry; space-group type = R-3m (166)
1.0
2.353 1.358 5.385
-2.353 1.358 5.385
0.000 -2.717 5.385
Ba Ag Au
1 2 1
direct
0.000 0.000 0.000
0.199 0.199 0.199
0.801 0.801 0.801
0.500 0.500 0.500

b | SCAN BaAg2Au, PBEsol geometry; space-group type = R3m (160)
1.0
2.347 1.355 5.409
-2.347 1.355 5.409
0.000 -2.710 5.409
Ba Ag Au
1 2 1
direct
0.000 0.000 0.000
0.500 0.500 0.500
0.801 0.801 0.801
0.203 0.203 0.203

Relative calculated energies, zero for the most stable structure, unit eV/atom: a 0.064; b 0.000.

a | SCAN Be2AgAu2, PBEsol geometry; space-group type = I4/mmm (139)
1.0
-1.696 1.696 6.155
1.696 -1.696 6.155
1.696 1.696 -6.155
Be Ag Au
2 1 2
direct
0.250 0.750 0.500
0.750 0.250 0.500
0.000 0.000 0.000
0.380 0.380 0.000
0.620 0.620 0.000

b | SCAN Be2AgAu2, PBEsol geometry; space-group type = P4/mbm (127)
1.0
7.073 0.000 0.000
0.000 7.073 0.000
0.000 0.000 2.756
Be Ag Au
4 2 4
direct
0.155 0.345 0.000
0.345 0.845 0.000
0.655 0.155 0.000
0.845 0.655 0.000
0.000 0.000 0.500
0.500 0.500 0.500
0.142 0.642 0.500
0.358 0.142 0.500
0.642 0.858 0.500
0.858 0.358 0.500

Relative calculated energies, zero for the most stable structure, unit eV/atom: a 0.000; b 0.031.

a | SCAN BeAgAu, PBEsol geometry; space-group type = P3m1 (156)
1.0
2.859 0.000 0.000
-1.429 2.476 0.000
0.000 0.000 6.077
Be Ag Au
1 1 1
direct
0.000 0.000 0.000
0.333 0.667 0.694
0.667 0.333 0.290

b | SCAN BeAgAu, PBEsol geometry; space-group type = I4mm (107)
1.0
-1.460 1.460 4.869
1.460 -1.460 4.869
1.460 1.460 -4.869
Be Ag Au
1 1 1
direct
0.000 0.000 0.000
0.656 0.656 0.000
0.367 0.367 0.000

Relative calculated energies, zero for the most stable structure, unit eV/atom: a 0.130; b 0.000.

a | SCAN AgBi2Au2, PBEsol geometry; space-group type = I4/mmm (139)
1.0
-2.287 2.287 6.125
2.287 -2.287 6.125
2.287 2.287 -6.125
Ag Bi Au
1 2 2
direct
0.000 0.000 0.000
0.250 0.750 0.500
0.750 0.250 0.500
0.395 0.395 0.000
0.605 0.605 0.000

b | SCAN AgBi2Au2, PBEsol geometry; space-group type = P4/mbm (127)
1.0
7.317 0.000 0.000
0.000 7.317 0.000
0.000 0.000 4.197
Ag Bi Au
2 4 4
direct
0.000 0.000 0.000
0.500 0.500 0.000
0.170 0.330 0.500
0.330 0.830 0.500
0.670 0.170 0.500
0.830 0.670 0.500
0.137 0.637 0.000
0.363 0.137 0.000
0.637 0.863 0.000
0.863 0.363 0.000

Relative calculated energies, zero for the most stable structure, unit eV/atom: a 0.271; b 0.000.